This record from OQMD describes LiTaAgTe2S after structural relaxation. The functional is GGA-PBE.

a b c (Å): 7.4383 7.4383 9.9044
angles (deg): 90.00 90.00 149.75
Site moments in Bohr magnetons follow the coordinates.
Element x y z (fractional)
Ag (0.4591, 0.5409, 0.2500)  0.02
Ag (0.5409, 0.4591, 0.7500)  0.02
Li (0.7436, 0.2564, 0.2500)  0.01
Li (0.2564, 0.7436, 0.7500)  0.01
S (0.0671, 0.9329, 0.2500)  -0.01
S (0.9329, 0.0671, 0.7500)  -0.01
Ta (0.0000, 0.0000, 0.0000)  0.51
Ta (0.0000, 0.0000, 0.5000)  0.51
Te (0.3529, 0.6471, 0.0253)  0.00
Te (0.3529, 0.6471, 0.4747)  -0.01
Te (0.6471, 0.3529, 0.5253)  -0.01
Te (0.6471, 0.3529, 0.9747)  0.00

Properties
- calculated density (Mg/m³) = 7.0
- total moment (μB/cell) = 1.601
- E (eV per atom) = -4.801
- space-group type = Cmcm, No. 63